Ac2SnTe3: optimized geometry, PBE.

Computed properties:
**ΔE_f (raw)**: -1.01 eV per atom
**Symmetry**: No. 71
**Electronic total energy**: -27.7 eV/cell
**Size of the total moment**: 0.00 μB/f.u.
**Fermi-level density of states**: 1.99 states/eV per cell

Geometry as extended XYZ:
```
6
Lattice="-0.226 -2.251 -3.463 1.681 -4.747 2.976 -9.447 1.560 2.073" Properties=species:S:1:pos:R:3 pbc="T T T"
Ac -1.812 -4.064 0.289
Ac -6.180 -1.375 1.297
Sn 0.000 0.000 0.000
Te 0.840 -2.374 1.488
Te -4.982 -4.769 0.955
Te -3.010 -0.670 0.632
```

---

Mn3PtN: optimized geometry, PBE.

Computed properties:
**ΔE_f (raw)**: 1.65 eV per atom
**Symmetry**: No. 221
**Electronic total energy**: -33.6 eV/cell
**Size of the total moment**: 12.02 μB/f.u.
**Fermi-level density of states**: 3.60 states/eV per cell

Geometry as extended XYZ:
```
5
Lattice="4.903 0.000 0.000 0.000 4.903 0.000 0.000 0.000 4.903" Properties=species:S:1:pos:R:3 pbc="T T T"
Mn 0.000 2.451 0.000
Mn 0.000 0.000 2.451
Mn 2.451 0.000 0.000
Pt 0.000 0.000 0.000
N 2.451 2.451 2.451
```

---

ZrTi2Ga: optimized geometry, PBE.

Computed properties:
**Symmetry**: No. 122
**Electronic total energy**: -53.5 eV/cell
**Size of the total moment**: 0.00 μB/f.u.
**Energy relative to the elements**: 158 meV/atom
**Fermi-level density of states**: 9.03 states/eV per cell

Geometry as extended XYZ:
```
8
Lattice="7.456 0.000 0.000 0.000 7.456 0.000 3.728 3.728 2.754" Properties=species:S:1:pos:R:3 pbc="T T T"
Ga 3.728 3.728 0.000
Ga 3.728 7.456 1.377
Zr 0.000 0.000 0.000
Zr 7.456 3.728 1.377
Ti 5.412 1.864 0.689
Ti 2.044 5.592 0.689
Ti 5.592 5.772 2.066
Ti 9.320 9.140 2.066
```

---

Sr2CdIn6: optimized geometry, PBE.

Computed properties:
**Symmetry**: No. 12
**Electronic total energy**: -23.2 eV/cell
**Size of the total moment**: 0.00 μB/f.u.
**Energy relative to the elements**: -280 meV/atom
**Fermi-level density of states**: 3.79 states/eV per cell

Geometry as extended XYZ:
```
9
Lattice="-6.725 -0.818 -0.885 4.054 -5.429 0.585 -0.633 -1.873 6.538" Properties=species:S:1:pos:R:3 pbc="T T T"
Sr -3.255 -2.441 0.618
Sr -0.049 -5.679 5.620
Cd 0.000 0.000 0.000
In -5.099 -3.394 3.779
In -3.272 -6.065 4.090
In -2.108 -3.030 4.172
In 1.795 -4.726 2.459
In -0.033 -2.055 2.148
In -1.197 -5.089 2.065
```

---

Sr3W3N5: optimized geometry, PBE.

Computed properties:
**ΔE_f (raw)**: -0.51 eV per atom
**Symmetry**: No. 2
**Electronic total energy**: -182.2 eV/cell
**Size of the total moment**: 0.00 μB/f.u.
**Fermi-level density of states**: 8.98 states/eV per cell

Geometry as extended XYZ:
```
22
Lattice="-3.860 1.423 4.571 6.644 -2.291 3.760 1.457 7.414 -3.675" Properties=species:S:1:pos:R:3 pbc="T T T"
Sr 0.954 4.495 2.925
Sr 3.286 2.051 1.732
Sr 4.449 5.529 2.943
Sr -0.208 1.017 1.713
Sr 2.251 1.127 4.810
Sr 1.990 5.419 -0.154
W -0.049 7.684 1.763
W 4.289 -1.138 2.893
W -1.790 5.384 1.197
W 6.031 1.162 3.459
W 6.472 3.126 1.220
W -2.231 3.420 3.436
N -2.090 7.414 1.808
N 6.331 -0.868 2.848
N 3.012 3.494 4.044
N 1.229 3.052 0.613
N 1.844 6.802 2.014
N 2.396 -0.256 2.642
N 5.651 3.117 3.034
N -1.410 3.429 1.622
N 5.708 4.930 0.587
N -1.467 1.616 4.069
```

---

Y2Tl2IO6: optimized geometry, PBE.

Computed properties:
**ΔE_f (raw)**: -1.64 eV per atom
**Symmetry**: No. 12
**Electronic total energy**: -67.1 eV/cell
**Size of the total moment**: 0.91 μB/f.u.
**Fermi-level density of states**: 1.64 states/eV per cell

Geometry as extended XYZ:
```
11
Lattice="-0.864 6.104 0.266 -0.501 -3.101 -5.312 -5.904 -1.885 2.727" Properties=species:S:1:pos:R:3 pbc="T T T"
Y -3.573 -0.978 -2.091
Y -3.695 2.097 -0.228
Tl -0.804 4.590 -0.652
Tl -0.560 -1.587 -4.394
I -2.952 -0.943 1.363
O -4.837 0.979 -1.931
O -4.203 -2.228 -0.253
O -2.431 0.139 -0.388
O -4.331 1.009 1.709
O -3.065 3.346 -2.066
O -2.937 0.109 -4.027
```

---

ErMg3Hg3: optimized geometry, PBE.

Computed properties:
**Symmetry**: No. 223
**Electronic total energy**: -16.5 eV/cell
**Size of the total moment**: 0.00 μB/f.u.
**Energy relative to the elements**: 284 meV/atom
**Fermi-level density of states**: 12.19 states/eV per cell

Geometry as extended XYZ:
```
14
Lattice="7.477 0.000 0.000 0.000 7.477 0.000 0.000 0.000 7.477" Properties=species:S:1:pos:R:3 pbc="T T T"
Mg 0.000 1.869 3.739
Mg 0.000 5.608 3.739
Mg 3.739 0.000 5.608
Mg 5.608 3.739 0.000
Mg 3.739 0.000 1.869
Mg 1.869 3.739 0.000
Hg 1.869 0.000 3.739
Hg 0.000 3.739 1.869
Hg 3.739 5.608 0.000
Hg 5.608 0.000 3.739
Hg 0.000 3.739 5.608
Hg 3.739 1.869 0.000
Er 3.739 3.739 3.739
Er 0.000 0.000 0.000
```

---

Pd4PtAu: optimized geometry, PBE.

Computed properties:
**Symmetry**: No. 123
**Electronic total energy**: -30.3 eV/cell
**Size of the total moment**: 0.82 μB/f.u.
**Energy relative to the elements**: -30 meV/atom
**Fermi-level density of states**: 11.01 states/eV per cell

Geometry as extended XYZ:
```
6
Lattice="-2.750 0.150 -0.585 0.533 -0.682 -2.679 -1.211 -11.609 2.716" Properties=species:S:1:pos:R:3 pbc="T T T"
Pd -2.109 -9.859 0.612
Pd -1.319 -2.282 -1.161
Pd -3.020 -8.225 -1.465
Pd -0.409 -3.917 0.916
Pt -1.714 -6.071 -0.275
Au 0.000 0.000 0.000
```

---

- Which of these has the highest Fermi-level density of states?
  ErMg3Hg3

---

- Look up the size of the total moment of the eighth one.
  0.82 μB/f.u.

---

- Which of these has the lowest electronic total energy?
  Sr3W3N5

---

- Which of these has the highest Fermi-level density of states?
  ErMg3Hg3